Model i:
The following is a DFT calculation (PBE) of a relaxed structure of PmMg2Zn.

Computed properties:
Theoretical density, Mg/m³: 4.8

Unit cell a=5.024 b=5.024 c=5.024 alpha=60.00 beta=60.00 gamma=60.00
Fractional coordinates of all 4 atoms:
Mg 0.750 0.750 0.750
Zn 0.000 0.000 0.000
Mg 0.250 0.250 0.250
Pm 0.500 0.500 0.500

---

Model ii:
The following is a DFT calculation (PBE) of a relaxed structure of PmMg2Zn.

Computed properties:
Theoretical density, Mg/m³: 4.5

Unit cell a=4.916 b=4.428 c=4.428 alpha=90.00 beta=90.00 gamma=90.00
Fractional coordinates of all 4 atoms:
Mg 0.000 0.500 0.000
Mg 0.000 0.000 0.500
Zn 0.500 0.500 0.500
Pm 0.500 0.000 0.000

---

Model iii:
The following is a DFT calculation (PBE) of a relaxed structure of PmMg2Zn.

Computed properties:
Theoretical density, Mg/m³: 4.7

Unit cell a=5.044 b=5.044 c=5.046 alpha=90.38 beta=119.78 gamma=119.77
Fractional coordinates of all 4 atoms:
Mg 0.125 0.812 0.937
Zn 0.625 0.562 0.188
Mg 0.625 0.063 0.688
Pm 0.125 0.313 0.437

---

Stability, lowest: model i

---

Model i:
The following is a DFT calculation (PBE) of a relaxed structure of Pm3Mg3Zn2.

Computed properties:
Theoretical density, Mg/m³: 5.0

Unit cell a=3.831 b=7.969 c=7.969 alpha=120.00 beta=90.00 gamma=90.00
Site moments in Bohr magnetons follow the coordinates.
Fractional coordinates of all 8 atoms:
Pm 0.500 0.000 0.588  0.10
Zn 0.000 0.667 0.333  0.01
Mg 0.000 0.232 0.000  0.00
Zn 0.000 0.333 0.667  0.01
Mg 0.000 0.000 0.232  0.00
Pm 0.500 0.412 0.412  0.10
Mg 0.000 0.768 0.768  0.00
Pm 0.500 0.588 0.000  0.10

---

Model ii:
The following is a DFT calculation (PBE) of a relaxed structure of Pm3Mg3Zn2.

Computed properties:
Theoretical density, Mg/m³: 5.3

Unit cell a=5.166 b=5.166 c=9.158 alpha=73.62 beta=73.62 gamma=60.00
Fractional coordinates of all 8 atoms:
Mg 0.748 0.748 0.757
Pm 0.126 0.126 0.622
Zn 0.000 0.000 0.999
Mg 0.624 0.624 0.127
Pm 0.370 0.370 0.891
Pm 0.879 0.879 0.362
Zn 0.502 0.502 0.494
Mg 0.251 0.251 0.247

---

Stability, lowest: model i

---

Model i:
The following is a DFT calculation (PBE) of a relaxed structure of PmMg3Zn8.

Computed properties:
Theoretical density, Mg/m³: 5.8

Unit cell a=5.228 b=5.228 c=9.026 alpha=90.00 beta=90.00 gamma=120.00
Fractional coordinates of all 12 atoms:
Zn 0.996 0.498 0.763
Mg 0.000 0.000 0.937
Zn 0.333 0.667 0.009
Mg 0.667 0.333 0.416
Zn 0.673 0.836 0.243
Pm 0.000 0.000 0.560
Zn 0.502 0.498 0.763
Zn 0.502 0.004 0.763
Zn 0.333 0.667 0.499
Zn 0.164 0.327 0.243
Mg 0.667 0.333 0.061
Zn 0.164 0.836 0.243

---

Model ii:
The following is a DFT calculation (PBE) of a relaxed structure of PmMg3Zn8.

Computed properties:
Theoretical density, Mg/m³: 5.8

Unit cell a=5.315 b=5.315 c=9.265 alpha=73.33 beta=73.33 gamma=60.00
Fractional coordinates of all 12 atoms:
Mg 0.002 0.002 0.994
Zn 0.936 0.936 0.695
Zn 0.688 0.688 0.935
Mg 0.374 0.374 0.878
Zn 0.439 0.945 0.177
Pm 0.876 0.876 0.373
Zn 0.433 0.936 0.695
Mg 0.495 0.495 0.515
Zn 0.439 0.439 0.177
Zn 0.936 0.433 0.695
Zn 0.187 0.187 0.439
Zn 0.945 0.439 0.177

---

Stability, lowest: model ii

---

Model i:
The following is a DFT calculation (PBE) of a relaxed structure of PmMg2Zr.

Computed properties:
Theoretical density, Mg/m³: 4.6

Unit cell a=3.229 b=3.229 c=11.471 alpha=81.91 beta=81.91 gamma=60.00
Fractional coordinates of all 4 atoms:
Mg 0.745 0.745 0.764
Mg 0.255 0.255 0.236
Pm 0.500 0.500 0.500
Zr 0.000 0.000 0.000

---

Model ii:
The following is a DFT calculation (PBE) of a relaxed structure of PmMg2Zr.

Computed properties:
Theoretical density, Mg/m³: 4.7

Unit cell a=5.209 b=5.209 c=5.209 alpha=60.00 beta=60.00 gamma=60.00
Fractional coordinates of all 4 atoms:
Mg 0.750 0.750 0.750
Pm 0.000 0.000 0.000
Mg 0.250 0.250 0.250
Zr 0.500 0.500 0.500

---

Model iii:
The following is a DFT calculation (PBE) of a relaxed structure of PmMg2Zr.

Computed properties:
Theoretical density, Mg/m³: 4.7

Unit cell a=3.649 b=3.649 c=7.542 alpha=90.00 beta=90.00 gamma=90.00
Fractional coordinates of all 4 atoms:
Mg 0.000 0.000 0.777
Mg 0.000 0.000 0.223
Pm 0.500 0.500 0.500
Zr 0.500 0.500 0.000

---

Stability, lowest: model i

---

Model i:
The following is a DFT calculation (PBE) of a relaxed structure of Pr5Mg.

Computed properties:
Theoretical density, Mg/m³: 5.9

Unit cell a=6.860 b=6.860 c=6.860 alpha=55.57 beta=55.57 gamma=55.57
Fractional coordinates of all 6 atoms:
Pr 0.659 0.659 0.659
Pr 0.500 0.130 0.870
Pr 0.130 0.870 0.500
Pr 0.870 0.500 0.130
Pr 0.341 0.341 0.341
Mg 0.000 0.000 0.000

---

Model ii:
The following is a DFT calculation (PBE) of a relaxed structure of Pr5Mg.

Computed properties:
Theoretical density, Mg/m³: 5.9

Unit cell a=9.429 b=9.429 c=5.931 alpha=90.00 beta=90.00 gamma=157.02
Fractional coordinates of all 6 atoms:
Pr 0.677 0.323 0.000
Pr 0.875 0.125 0.500
Mg 0.216 0.784 0.500
Pr 0.553 0.447 0.500
Pr 0.336 0.664 0.000
Pr 0.009 0.991 0.000

---

Model iii:
The following is a DFT calculation (PBE) of a relaxed structure of Pr5Mg.

Computed properties:
Theoretical density, Mg/m³: 5.9

Unit cell a=3.741 b=3.741 c=14.697 alpha=90.00 beta=90.00 gamma=90.00
Fractional coordinates of all 6 atoms:
Pr 0.000 0.000 0.353
Pr 0.500 0.500 0.178
Mg 0.500 0.500 0.500
Pr 0.000 0.000 0.000
Pr 0.500 0.500 0.822
Pr 0.000 0.000 0.647

---

Stability, lowest: model ii

---

Model i:
The following is a DFT calculation (PBE) of a relaxed structure of Pr2PuMg.

Computed properties:
Theoretical density, Mg/m³: 7.2

Unit cell a=3.428 b=3.428 c=12.590 alpha=82.18 beta=82.18 gamma=60.00
Site moments in Bohr magnetons follow the coordinates.
Fractional coordinates of all 4 atoms:
Mg 0.500 0.500 0.500  0.00
Pr 0.089 0.089 0.732  0.01
Pu 0.000 0.000 0.000  5.75
Pr 0.911 0.911 0.268  0.01

---

Model ii:
The following is a DFT calculation (PBE) of a relaxed structure of Pr2PuMg.

Computed properties:
Theoretical density, Mg/m³: 7.3

Unit cell a=5.610 b=5.610 c=5.610 alpha=60.00 beta=60.00 gamma=60.00
Site moments in Bohr magnetons follow the coordinates.
Fractional coordinates of all 4 atoms:
Pr 0.750 0.750 0.750  0.10
Pu 0.000 0.000 0.000  5.57
Pr 0.250 0.250 0.250  0.10
Mg 0.500 0.500 0.500  -0.01

---

Stability, lowest: model i